(1)
Computed, not measured: a geometry-optimized CuAsPd2 structure at the GGA-PBE level of DFT.

Unit cell a=7.6461 b=5.3184 c=6.1155 alpha=90.00 beta=90.00 gamma=90.00
With the nearest neighbours (Å) after each atom.
Element x y z (fractional)
Cu: 0.0626 0.4525 0.0591  2 As 2.42-2.57, 4 Pd 2.66-2.71
Cu: 0.5626 0.5475 0.9409  2 As 2.42-2.57, 4 Pd 2.66-2.71
Cu: 0.5626 0.9525 0.4409  2 As 2.42-2.57, 4 Pd 2.66-2.71
Cu: 0.0626 0.0475 0.5591  2 As 2.42-2.57, 4 Pd 2.66-2.71
As: 0.0625 0.0068 0.1410  2 Cu 2.42-2.57, 6 Pd 2.55-2.56
As: 0.5625 0.9932 0.8590  2 Cu 2.42-2.57, 6 Pd 2.55-2.56
As: 0.5625 0.5068 0.3590  2 Cu 2.42-2.57, 6 Pd 2.55-2.56
As: 0.0625 0.4932 0.6410  2 Cu 2.42-2.57, 6 Pd 2.55-2.56
Pd: 0.7577 0.2963 0.6429  3 As 2.55-2.56, 3 Cu 2.66-2.73
Pd: 0.2577 0.7037 0.3571  3 As 2.55-2.56, 3 Cu 2.66-2.73
Pd: 0.2577 0.7963 0.8571  3 As 2.55-2.56, 3 Cu 2.66-2.73
Pd: 0.7577 0.2037 0.1429  3 As 2.55-2.56, 3 Cu 2.66-2.73
Pd: 0.3674 0.2963 0.6429  3 As 2.55-2.56, 3 Cu 2.66-2.73
Pd: 0.8674 0.7037 0.3571  3 As 2.55-2.56, 3 Cu 2.66-2.73
Pd: 0.8674 0.7963 0.8571  3 As 2.55-2.56, 3 Cu 2.66-2.73
Pd: 0.3674 0.2037 0.1429  3 As 2.55-2.56, 3 Cu 2.66-2.73

Summary:
Electronic total energy = -5.013 eV per atom
Space-group type = Pnma (62)
N(E_F) = 6.2 states/eV per cell



(2)
Computed, not measured: a geometry-optimized Th2Tl2H structure at the GGA-PBE level of DFT.

Unit cell a=4.7231 b=6.5667 c=8.9000 alpha=90.00 beta=105.39 gamma=90.00
With the nearest neighbours (Å) after each atom.
Element x y z (fractional)
Th: 0.4163 0.3956 0.8326  1 H 2.33
Th: 0.8360 0.9934 0.6721  2 H 2.47
Th: 0.1640 0.4934 0.3279  2 H 2.47
Th: 0.5837 0.8956 0.1674  1 H 2.33
Tl: 0.9838 0.6833 0.9677  6 Th 3.23-3.33, 3 Tl 3.33-3.45, 2 H 3.54
Tl: 0.7955 0.4994 0.5911  1 H 2.86
Tl: 0.2045 0.9994 0.4089  1 H 2.86
Tl: 0.0162 0.1833 0.0323  6 Th 3.23-3.33, 3 Tl 3.33-3.45, 2 H 3.54
H: 0.3696 0.0626 0.7393  3 Th 2.33-2.47
H: 0.6304 0.5626 0.2607  3 Th 2.33-2.47

Summary:
Electronic total energy = -4.639 eV per atom
Space-group type = Cmc2_1 (36)
N(E_F) = 7.5 states/eV per cell



(3)
Computed, not measured: a geometry-optimized TaMnRu2 structure at the GGA-PBE level of DFT.

Unit cell a=4.3814 b=4.3814 c=4.3814 alpha=60.00 beta=60.00 gamma=60.00
With the nearest neighbours (Å) after each atom.
Element x y z (fractional)
Mn: 0.5000 0.5000 0.5000  4 Ru 2.68, 4 Ta 2.68
Ru: 0.0000 0.0000 0.0000  4 Ta 2.68, 4 Ru 2.68
Ru: 0.2500 0.2500 0.2500  4 Ru 2.68, 4 Mn 2.68
Ta: 0.7500 0.7500 0.7500  4 Ru 2.68, 4 Mn 2.68

Summary:
Electronic total energy = -9.809 eV per atom
Space-group type = F-43m (216)
N(E_F) = 4.8 states/eV per cell



(4)
Computed, not measured: a geometry-optimized TaBePb2 structure at the GGA-PBE level of DFT.

Unit cell a=5.0365 b=5.0365 c=5.0365 alpha=60.00 beta=60.00 gamma=60.00
With the nearest neighbours (Å) after each atom.
Element x y z (fractional)
Pb: 0.0000 0.0000 0.0000  4 Ta 3.08, 4 Pb 3.08
Pb: 0.2500 0.2500 0.2500  4 Pb 3.08, 4 Be 3.08
Be: 0.5000 0.5000 0.5000  4 Ta 3.08, 4 Pb 3.08
Ta: 0.7500 0.7500 0.7500  4 Pb 3.08, 4 Be 3.08

Summary:
Electronic total energy = -4.615 eV per atom
Space-group type = F-43m (216)
N(E_F) = 4.0 states/eV per cell



(5)
Computed, not measured: a geometry-optimized MgTl structure at the GGA-PBE level of DFT.

Unit cell a=6.0022 b=6.0022 c=6.0972 alpha=90.00 beta=90.00 gamma=90.00
With the nearest neighbours (Å) after each atom.
Element x y z (fractional)
Mg: 0.8044 0.1956 0.0000  6 Tl 3.05-3.08, 1 Mg 3.32
Mg: 0.3044 0.3044 0.5000  6 Tl 3.05-3.08, 1 Mg 3.32
Mg: 0.6956 0.6956 0.5000  6 Tl 3.05-3.08, 1 Mg 3.32
Mg: 0.1956 0.8044 0.0000  6 Tl 3.05-3.08, 1 Mg 3.32
Tl: 0.6983 0.6983 0.0000  6 Mg 3.05-3.08, 1 Tl 3.37
Tl: 0.1983 0.8017 0.5000  6 Mg 3.05-3.08, 1 Tl 3.37
Tl: 0.8017 0.1983 0.5000  6 Mg 3.05-3.08, 1 Tl 3.37
Tl: 0.3017 0.3017 0.0000  6 Mg 3.05-3.08, 1 Tl 3.37

Summary:
Electronic total energy = -1.879 eV per atom
Space-group type = P4_2/mnm (136)
N(E_F) = 3.7 states/eV per cell



(6)
Computed, not measured: a geometry-optimized CoPd2Pt structure at the GGA-PBE level of DFT.

Unit cell a=6.9540 b=6.9540 c=5.5697 alpha=51.37 beta=51.37 gamma=90.00
With the nearest neighbours (Å) after each atom.
Element x y z (fractional)
Co: 0.5000 0.5000 0.0000  4 Pd 2.41, 2 Pt 2.62
Co: 0.2500 0.7500 0.5000  4 Pd 2.41, 2 Pt 2.62
Pd: 0.5958 0.1250 0.2500  2 Co 2.41, 2 Pd 2.65, 2 Pt 2.69
Pd: 0.1542 0.6250 0.2500  2 Co 2.41, 2 Pd 2.65, 2 Pt 2.69
Pd: 0.3750 0.4042 0.7500  2 Co 2.41, 2 Pd 2.65, 2 Pt 2.69
Pd: 0.8750 0.8458 0.7500  2 Co 2.41, 2 Pd 2.65, 2 Pt 2.69
Pt: 0.0000 0.0000 0.0000  2 Co 2.62, 4 Pd 2.69
Pt: 0.7500 0.2500 0.5000  2 Co 2.62, 4 Pd 2.69

Summary:
Electronic total energy = -5.501 eV per atom
Space-group type = I-42d (122)
N(E_F) = 10.9 states/eV per cell



> Which of these has the highest N(E_F)?

CoPd2Pt



> Which value of electronic total energy does entry 6 give?

-5.501 eV per atom



> Look up the N(E_F) of the sixth one.

10.9 states/eV per cell



> What is the electronic total energy in the fifth record?

-1.879 eV per atom